Here is a relaxed TbPm2SmEr crystal from Alexandria. Energies are from PBE.

Results
total magnetic moment: 0.00 μB per formula unit
energy of formation: 0.4072 eV per atom
density: 7.20 g/cm3

Cell: 7.2424 8.4096 7.1657 Å, 125.93 90.00 90.00°
Element x y z (fractional)
Er  0.2500  0.2676  0.5351
Pm  0.0000  0.6911  0.0000
Pm  0.5000  0.6911  0.0000
Pm  0.0000  0.3089  0.0000
Tb  0.7500  0.0113  0.0226
Sm  0.2500  0.7235  0.4470
Er  0.7500  0.7324  0.4649
Sm  0.7500  0.2765  0.5530
Pm  0.5000  0.3089  0.0000
Tb  0.2500  0.9887  0.9774